Record 1
Computed, not measured: SrGdPt after structural relaxation at the PBE level of DFT.

The density of states at the Fermi level is 4.10 states/eV/f.u. Its excess energy over the best structure of this formula in the dataset is 0.000 eV/atom. For the formation energy, the calculation gives -0.692 eV per atom. For the final energy, the calculation gives -7.960 eV/atom. As for the total moment: 7.283 μB/cell.

a = 6.7795 Å, b = 4.2392 Å, c = 4.2392 Å
α = 120.00°, β = 90.00°, γ = 90.00°
Last column: magnetic moment on the atom in μB.
Element x y z (fractional)
Sr 0.7522 0.6667 0.3333  0.01
Gd 0.2227 0.3333 0.6667  7.04
Pt 0.0250 0.0000 0.0000  0.00

***

Record 2
Computed, not measured: SrGd3Pt after structural relaxation at the PBE level of DFT.

The density of states at the Fermi level is 11.94 states/eV/f.u. For the formation energy, the calculation gives -0.393 eV per atom. For the final energy, the calculation gives -10.386 eV/atom. As for the total moment: 22.327 μB/cell.

a = 5.6355 Å, b = 5.6355 Å, c = 5.6355 Å
α = 90.00°, β = 90.00°, γ = 90.00°
Last column: magnetic moment on the atom in μB.
Element x y z (fractional)
Sr 0.5000 0.5000 0.5000  0.03
Gd 0.0000 0.5000 0.0000  7.11
Gd 0.0000 0.0000 0.5000  7.11
Gd 0.5000 0.0000 0.0000  7.11
Pt 0.0000 0.0000 0.0000  0.01

***

Record 3
Computed, not measured: SrGdPt4 after structural relaxation at the PBE level of DFT.

The density of states at the Fermi level is 5.18 states/eV/f.u. For the formation energy, the calculation gives -0.969 eV per atom. For the final energy, the calculation gives -7.623 eV/atom. As for the total moment: 7.179 μB/cell.

a = 5.5126 Å, b = 5.5126 Å, c = 5.5126 Å
α = 60.00°, β = 60.00°, γ = 60.00°
Last column: magnetic moment on the atom in μB.
Element x y z (fractional)
Sr 0.2500 0.2500 0.2500  0.01
Gd 0.0000 0.0000 0.0000  6.97
Pt 0.6251 0.6251 0.1247  0.02
Pt 0.6251 0.1247 0.6251  0.02
Pt 0.6251 0.6251 0.6251  0.02
Pt 0.1247 0.6251 0.6251  0.02

***

Record 4
Computed, not measured: SrGdPt2 after structural relaxation at the PBE level of DFT.

The density of states at the Fermi level is 1.37 states/eV/f.u. Its excess energy over the best structure of this formula in the dataset is 0.000 eV/atom. For the formation energy, the calculation gives -1.013 eV per atom. For the final energy, the calculation gives -7.974 eV/atom. As for the total moment: 7.054 μB/cell.

a = 3.5787 Å, b = 3.5787 Å, c = 7.3520 Å
α = 90.00°, β = 90.00°, γ = 90.00°
Last column: magnetic moment on the atom in μB.
Element x y z (fractional)
Sr 0.5000 0.5000 0.5000  0.00
Gd 0.5000 0.5000 0.0000  6.97
Pt 0.0000 0.0000 0.7847  -0.01
Pt 0.0000 0.0000 0.2153  -0.01

***

Record 5
Computed, not measured: SrGdPt2 after structural relaxation at the PBE level of DFT.

The density of states at the Fermi level is 2.17 states/eV/f.u. Its excess energy over the best structure of this formula in the dataset is 0.089 eV/atom. For the formation energy, the calculation gives -0.924 eV per atom. For the final energy, the calculation gives -7.885 eV/atom. As for the total moment: 7.055 μB/cell.

a = 5.0676 Å, b = 5.0676 Å, c = 5.0676 Å
α = 60.00°, β = 60.00°, γ = 60.00°
Last column: magnetic moment on the atom in μB.
Element x y z (fractional)
Sr 0.5000 0.5000 0.5000  0.00
Gd 0.0000 0.0000 0.0000  6.99
Pt 0.2500 0.2500 0.2500  -0.01
Pt 0.7500 0.7500 0.7500  -0.01

***

Record 6
Computed, not measured: SrGdTlPt after structural relaxation at the PBE level of DFT.

The density of states at the Fermi level is 2.73 states/eV/f.u. For the formation energy, the calculation gives -0.545 eV per atom. For the final energy, the calculation gives -6.587 eV/atom. As for the total moment: 7.040 μB/cell.

a = 5.3135 Å, b = 5.3135 Å, c = 5.3135 Å
α = 60.00°, β = 60.00°, γ = 60.00°
Last column: magnetic moment on the atom in μB.
Element x y z (fractional)
Sr 0.5000 0.5000 0.5000  0.00
Tl 0.2500 0.2500 0.2500  0.01
Gd 0.0000 0.0000 0.0000  -6.98
Pt 0.7500 0.7500 0.7500  0.03

***

Which mass density belongs to each record? In order, 6.92 7.00 14.37 11.20 11.46 10.09 g/cm3.